VASP calculation (PBE) on an optimized crystal structure of Sc6GePd2.

- total DFT energy (no corrections) (eV per atom) = -6.471
- space-group type = No. 189

```
9
Lattice="-5.965 4.230 0.367 2.853 -2.845 6.114 2.344 3.268 0.427" Properties=species:S:1:pos:R:3 pbc="T T T"
Pd -3.026 1.872 2.283
Pd -0.087 -0.487 4.198
Sc -1.209 3.322 0.360
Sc 2.102 -2.097 4.505
Sc -0.698 2.466 4.108
Sc 2.311 0.499 2.654
Sc -0.819 0.364 1.705
Sc -4.396 3.117 0.271
Ge 1.172 1.634 0.214
```

VASP calculation (PBE) on an optimized crystal structure of Pr3Mg3AgPd2.

- total DFT energy (no corrections) (eV per atom) = -4.095
- space-group type = No. 189

```
9
Lattice="-5.609 -3.932 3.575 7.322 -0.704 2.365 -0.546 3.172 2.633" Properties=species:S:1:pos:R:3 pbc="T T T"
Mg 1.293 -3.498 4.482
Mg 1.796 -0.173 0.580
Mg -1.376 -0.964 0.877
Ag -0.273 1.586 1.316
Pd 3.012 -1.780 2.768
Pd -1.299 -2.856 3.171
Pr -3.528 -0.696 3.391
Pr 3.976 1.178 2.689
Pr 0.446 -0.359 3.809
```

VASP calculation (PBE) on an optimized crystal structure of LiCuIrS3.

- total DFT energy (no corrections) (eV per atom) = -4.859
- space-group type = No. 63

```
12
Lattice="3.591 0.000 0.000 1.796 5.868 0.000 0.000 0.000 9.150" Properties=species:S:1:pos:R:3 pbc="T T T"
Cu 1.796 0.523 6.862
Cu 3.591 5.345 2.287
S 3.591 0.987 2.287
S 3.591 4.291 0.334
S 1.796 4.880 6.862
S 3.591 4.291 4.241
S 1.796 1.576 8.815
S 1.796 1.576 4.909
Ir 0.000 0.000 4.575
Ir 0.000 0.000 0.000
Li 3.591 2.916 6.862
Li 1.796 2.952 2.287
```

VASP calculation (PBE) on an optimized crystal structure of Cu6P.

- total DFT energy (no corrections) (eV per atom) = -3.412
- space-group type = No. 166

```
14
Lattice="0.550 -4.865 4.685 5.372 -4.089 -0.592 4.899 0.860 4.603" Properties=species:S:1:pos:R:3 pbc="T T T"
Cu 6.193 -4.601 7.076
Cu 6.395 -6.717 4.855
Cu 0.371 -3.257 3.137
Cu 8.254 -4.269 4.819
Cu 2.567 -3.824 3.877
Cu 10.450 -4.836 5.559
Cu 3.281 0.574 3.082
Cu 7.540 -8.667 5.614
Cu 7.224 -5.356 9.090
Cu 4.426 -1.376 3.842
Cu 3.597 -2.738 -0.394
Cu 4.628 -3.492 1.621
P 4.714 -3.526 3.788
P 6.107 -4.567 4.908
```

VASP calculation (PBE) on an optimized crystal structure of GdErFe2Ge2C.

- total DFT energy (no corrections) (eV per atom) = -6.937
- space-group type = No. 8

```
7
Lattice="-3.788 4.019 -1.392 -3.975 0.993 -3.957 -0.562 -4.371 5.199" Properties=species:S:1:pos:R:3 pbc="T T T"
Ge -6.654 2.930 -2.973
Ge -1.665 -2.284 2.817
C -0.014 -0.013 0.016
Fe -6.759 0.049 0.434
Fe -1.577 0.590 -0.581
Gd -3.829 -0.885 1.323
Er -4.479 1.534 -1.484
```

VASP calculation (PBE) on an optimized crystal structure of Dy2Y3Tm3.

- DFT formation energy (eV per atom) = 0.005
- space-group type = No. 38

```
8
Lattice="-0.394 -5.095 -2.321 6.450 -1.725 2.692 0.493 -3.009 6.522" Properties=species:S:1:pos:R:3 pbc="T T T"
Y 2.556 -3.082 6.332
Y 0.958 -3.335 0.372
Y 5.541 -2.439 4.414
Tm 5.788 -3.947 7.682
Tm 4.189 -4.199 1.720
Tm 1.204 -4.842 3.640
Dy 4.432 -5.704 4.983
Dy 2.315 -1.578 3.072
```

VASP calculation (PBE) on an optimized crystal structure of YCuBiPd.

- total DFT energy (no corrections) (eV per atom) = -5.165
- space-group type = No. 216

```
4
Lattice="0.000 3.469 3.469 3.469 0.000 3.469 3.469 3.469 0.000" Properties=species:S:1:pos:R:3 pbc="T T T"
Cu 5.204 5.204 5.204
Y 1.735 1.735 1.735
Bi 0.000 0.000 0.000
Pd 3.469 3.469 3.469
```

VASP calculation (PBE) on an optimized crystal structure of TaTl2BiS6.

- total DFT energy (no corrections) (eV per atom) = -4.827
- space-group type = No. 12

```
10
Lattice="-4.755 5.225 1.278 -5.072 2.000 -4.672 -3.626 -3.928 2.322" Properties=species:S:1:pos:R:3 pbc="T T T"
S -2.121 -1.077 0.697
S -11.333 4.374 -1.768
S -4.167 3.007 0.446
S -9.287 0.291 -1.517
S -4.319 1.456 -2.414
S -9.135 1.841 1.342
Bi -6.727 1.649 -0.536
Ta 0.000 0.000 0.000
Tl -7.921 4.241 -1.877
Tl -5.533 -0.944 0.806
```